5
Lattice="-2.684 2.684 3.473 2.684 -2.684 3.473 2.684 2.684 -3.473" Properties=species:S:1:pos:R:3 comment="Y2Fe2Si | Alexandria via LeMat-Bulk | GGA-PBE | optimized geometry" e_tot_ev_per_atom=-6.937 formation_energy_uncorrected_kcal_per_mol_atoms=2.7 total_magnetization_mub_per_fu=2.82 pbc="T T T"
Y 0.000 2.684 1.736
Y 2.684 0.000 1.736
Fe 0.000 0.000 4.632
Fe 0.000 0.000 2.314
Si 0.000 0.000 0.000